Arrangement one

TlHgNO: relaxed, PBE.

Geometry as CIF:
```
data_TlHgNO
_space_group_name_H-M_alt 'P m c 21'
_space_group_IT_number 26
_cell_length_a 3.724
_cell_length_b 6.456
_cell_length_c 6.043
_cell_angle_alpha 90.00
_cell_angle_beta 90.00
_cell_angle_gamma 90.00
loop_
_space_group_symop_operation_xyz
'x,y,z'
'-x,-y,z+1/2'
'-x,y,z'
'x,-y,z+1/2'
loop_
_atom_site_label
_atom_site_type_symbol
_atom_site_fract_x
_atom_site_fract_y
_atom_site_fract_z
Tl1 Tl 0.000 0.172 0.000
Hg1 Hg 0.500 0.352 0.513
N1 N 0.500 0.321 0.885
O1 O 0.000 0.155 0.373
```

---

Arrangement two

TlHgNO: relaxed, PBE.

Geometry as CIF:
```
data_TlHgNO
_space_group_name_H-M_alt 'P 4/n m m'
_space_group_IT_number 129
_cell_length_a 4.869
_cell_length_b 4.869
_cell_length_c 4.950
_cell_angle_alpha 90.00
_cell_angle_beta 90.00
_cell_angle_gamma 90.00
loop_
_space_group_symop_operation_xyz
'x,y,z'
'-x,-y,-z'
'-y+1/2,x,z'
'y+1/2,-x,-z'
'-x+1/2,-y+1/2,z'
'x+1/2,y+1/2,-z'
'y,-x+1/2,z'
'-y,x+1/2,-z'
'x+1/2,-y,-z'
'-x+1/2,y,z'
'-y,-x,-z'
'y,x,z'
'-x,y+1/2,-z'
'x,-y+1/2,z'
'y+1/2,x+1/2,-z'
'-y+1/2,-x+1/2,z'
loop_
_atom_site_label
_atom_site_type_symbol
_atom_site_fract_x
_atom_site_fract_y
_atom_site_fract_z
Tl1 Tl 0.250 0.750 0.000
Hg1 Hg 0.250 0.250 0.500
N1 N 0.250 0.250 0.001
O1 O 0.250 0.750 0.500
```

---

Top of the stability list: arrangement one, leading by 162 meV per atom.

---

Arrangement one

TlHgNO: relaxed, PBE.

Geometry as CIF:
```
data_TlHgNO
_space_group_name_H-M_alt 'P 4/n m m'
_space_group_IT_number 129
_cell_length_a 4.622
_cell_length_b 4.622
_cell_length_c 6.250
_cell_angle_alpha 90.00
_cell_angle_beta 90.00
_cell_angle_gamma 90.00
loop_
_space_group_symop_operation_xyz
'x,y,z'
'-x,-y,-z'
'-y+1/2,x,z'
'y+1/2,-x,-z'
'-x+1/2,-y+1/2,z'
'x+1/2,y+1/2,-z'
'y,-x+1/2,z'
'-y,x+1/2,-z'
'x+1/2,-y,-z'
'-x+1/2,y,z'
'-y,-x,-z'
'y,x,z'
'-x,y+1/2,-z'
'x,-y+1/2,z'
'y+1/2,x+1/2,-z'
'-y+1/2,-x+1/2,z'
loop_
_atom_site_label
_atom_site_type_symbol
_atom_site_fract_x
_atom_site_fract_y
_atom_site_fract_z
Tl1 Tl 0.250 0.250 0.093
Hg1 Hg 0.250 0.750 0.500
N1 N 0.250 0.250 0.460
O1 O 0.250 0.750 0.000
```

---

Arrangement two

TlHgNO: relaxed, PBE.

Geometry as CIF:
```
data_TlHgNO
_space_group_name_H-M_alt 'P c a 21'
_space_group_IT_number 29
_cell_length_a 6.437
_cell_length_b 7.609
_cell_length_c 5.953
_cell_angle_alpha 90.00
_cell_angle_beta 90.00
_cell_angle_gamma 90.00
loop_
_space_group_symop_operation_xyz
'x,y,z'
'-x,-y,z+1/2'
'-x+1/2,y,z+1/2'
'x+1/2,-y,z'
loop_
_atom_site_label
_atom_site_type_symbol
_atom_site_fract_x
_atom_site_fract_y
_atom_site_fract_z
Tl1 Tl 0.072 0.137 0.000
Hg1 Hg 0.096 0.596 0.014
N1 N 0.082 0.636 0.638
O1 O 0.098 0.105 0.625
```

---

Top of the stability list: arrangement two, leading by 109 meV per atom.

---

Arrangement one

TlHgNO: relaxed, PBE.

Geometry as CIF:
```
data_TlHgNO
_space_group_name_H-M_alt 'P 4/n m m'
_space_group_IT_number 129
_cell_length_a 4.280
_cell_length_b 4.280
_cell_length_c 8.281
_cell_angle_alpha 90.00
_cell_angle_beta 90.00
_cell_angle_gamma 90.00
loop_
_space_group_symop_operation_xyz
'x,y,z'
'-x,-y,-z'
'-y+1/2,x,z'
'y+1/2,-x,-z'
'-x+1/2,-y+1/2,z'
'x+1/2,y+1/2,-z'
'y,-x+1/2,z'
'-y,x+1/2,-z'
'x+1/2,-y,-z'
'-x+1/2,y,z'
'-y,-x,-z'
'y,x,z'
'-x,y+1/2,-z'
'x,-y+1/2,z'
'y+1/2,x+1/2,-z'
'-y+1/2,-x+1/2,z'
loop_
_atom_site_label
_atom_site_type_symbol
_atom_site_fract_x
_atom_site_fract_y
_atom_site_fract_z
Tl1 Tl 0.250 0.250 0.114
Hg1 Hg 0.250 0.750 0.500
N1 N 0.250 0.250 0.378
O1 O 0.250 0.750 0.000
```

---

Arrangement two

TlHgNO: relaxed, PBE.

Geometry as CIF:
```
data_TlHgNO
_space_group_name_H-M_alt 'P m c 21'
_space_group_IT_number 26
_cell_length_a 3.818
_cell_length_b 6.366
_cell_length_c 5.999
_cell_angle_alpha 90.00
_cell_angle_beta 90.00
_cell_angle_gamma 90.00
loop_
_space_group_symop_operation_xyz
'x,y,z'
'-x,-y,z+1/2'
'-x,y,z'
'x,-y,z+1/2'
loop_
_atom_site_label
_atom_site_type_symbol
_atom_site_fract_x
_atom_site_fract_y
_atom_site_fract_z
Tl1 Tl 0.000 0.158 0.000
Hg1 Hg 0.500 0.319 0.476
N1 N 0.000 0.173 0.372
O1 O 0.500 0.319 0.886
```

---

Top of the stability list: arrangement two, leading by 53 meV per atom.

---

Arrangement one

# TmHgNO | OQMD | PBE | relaxed
data_TmHgNO
_space_group_name_H-M_alt 'P c a 21'
_space_group_IT_number 29
_cell_length_a 6.382
_cell_length_b 7.504
_cell_length_c 6.211
_cell_angle_alpha 90.00
_cell_angle_beta 90.00
_cell_angle_gamma 90.00
loop_
_space_group_symop_operation_xyz
'x,y,z'
'-x,-y,z+1/2'
'-x+1/2,y,z+1/2'
'x+1/2,-y,z'
loop_
_atom_site_label
_atom_site_type_symbol
_atom_site_fract_x
_atom_site_fract_y
_atom_site_fract_z
Tm1 Tm 0.085 0.115 0.000
Hg1 Hg 0.230 0.609 0.827
N1 N 0.030 0.619 0.561
O1 O 0.127 0.061 0.663
# M_tot	0.0	μB per formula unit

---

Arrangement two

# TmHgNO | OQMD | PBE | relaxed
data_TmHgNO
_space_group_name_H-M_alt 'P m c 21'
_space_group_IT_number 26
_cell_length_a 3.958
_cell_length_b 6.029
_cell_length_c 5.657
_cell_angle_alpha 90.00
_cell_angle_beta 90.00
_cell_angle_gamma 90.00
loop_
_space_group_symop_operation_xyz
'x,y,z'
'-x,-y,z+1/2'
'-x,y,z'
'x,-y,z+1/2'
loop_
_atom_site_label
_atom_site_type_symbol
_atom_site_fract_x
_atom_site_fract_y
_atom_site_fract_z
Tm1 Tm 0.000 0.197 0.000
Hg1 Hg 0.500 0.275 0.476
N1 N 0.000 0.156 0.394
O1 O 0.500 0.317 0.924
# M_tot	0.0	μB per formula unit

---

Top of the stability list: arrangement one, leading by 53 meV per atom.

---

Arrangement one

# TmHgNO | OQMD | PBE | relaxed
data_TmHgNO
_space_group_name_H-M_alt 'P 4/n m m'
_space_group_IT_number 129
_cell_length_a 4.962
_cell_length_b 4.962
_cell_length_c 4.555
_cell_angle_alpha 90.00
_cell_angle_beta 90.00
_cell_angle_gamma 90.00
loop_
_space_group_symop_operation_xyz
'x,y,z'
'-x,-y,-z'
'-y+1/2,x,z'
'y+1/2,-x,-z'
'-x+1/2,-y+1/2,z'
'x+1/2,y+1/2,-z'
'y,-x+1/2,z'
'-y,x+1/2,-z'
'x+1/2,-y,-z'
'-x+1/2,y,z'
'-y,-x,-z'
'y,x,z'
'-x,y+1/2,-z'
'x,-y+1/2,z'
'y+1/2,x+1/2,-z'
'-y+1/2,-x+1/2,z'
loop_
_atom_site_label
_atom_site_type_symbol
_atom_site_fract_x
_atom_site_fract_y
_atom_site_fract_z
Tm1 Tm 0.250 0.750 0.000
Hg1 Hg 0.250 0.250 0.499
N1 N 0.250 0.250 0.999
O1 O 0.250 0.750 0.500
# M_tot	0.0	μB per formula unit

---

Arrangement two

# TmHgNO | OQMD | PBE | relaxed
data_TmHgNO
_space_group_name_H-M_alt 'P c a 21'
_space_group_IT_number 29
_cell_length_a 6.341
_cell_length_b 7.517
_cell_length_c 5.751
_cell_angle_alpha 90.00
_cell_angle_beta 90.00
_cell_angle_gamma 90.00
loop_
_space_group_symop_operation_xyz
'x,y,z'
'-x,-y,z+1/2'
'-x+1/2,y,z+1/2'
'x+1/2,-y,z'
loop_
_atom_site_label
_atom_site_type_symbol
_atom_site_fract_x
_atom_site_fract_y
_atom_site_fract_z
Tm1 Tm 0.070 0.137 0.000
Hg1 Hg 0.058 0.655 0.012
N1 N 0.102 0.101 0.619
O1 O 0.080 0.619 0.589
# M_tot	0.0	μB per formula unit

---

Arrangement three

# TmHgNO | OQMD | PBE | relaxed
data_TmHgNO
_space_group_name_H-M_alt 'P m c 21'
_space_group_IT_number 26
_cell_length_a 3.803
_cell_length_b 6.420
_cell_length_c 6.159
_cell_angle_alpha 90.00
_cell_angle_beta 90.00
_cell_angle_gamma 90.00
loop_
_space_group_symop_operation_xyz
'x,y,z'
'-x,-y,z+1/2'
'-x,y,z'
'x,-y,z+1/2'
loop_
_atom_site_label
_atom_site_type_symbol
_atom_site_fract_x
_atom_site_fract_y
_atom_site_fract_z
Tm1 Tm 0.000 0.140 0.000
Hg1 Hg 0.500 0.440 0.583
N1 N 0.500 0.291 0.882
O1 O 0.000 0.143 0.340
# M_tot	0.0	μB per formula unit

---

Arrangement four

# TmHgNO | OQMD | PBE | relaxed
data_TmHgNO
_space_group_name_H-M_alt 'P 4/n m m'
_space_group_IT_number 129
_cell_length_a 3.885
_cell_length_b 3.885
_cell_length_c 7.864
_cell_angle_alpha 90.00
_cell_angle_beta 90.00
_cell_angle_gamma 90.00
loop_
_space_group_symop_operation_xyz
'x,y,z'
'-x,-y,-z'
'-y+1/2,x,z'
'y+1/2,-x,-z'
'-x+1/2,-y+1/2,z'
'x+1/2,y+1/2,-z'
'y,-x+1/2,z'
'-y,x+1/2,-z'
'x+1/2,-y,-z'
'-x+1/2,y,z'
'-y,-x,-z'
'y,x,z'
'-x,y+1/2,-z'
'x,-y+1/2,z'
'y+1/2,x+1/2,-z'
'-y+1/2,-x+1/2,z'
loop_
_atom_site_label
_atom_site_type_symbol
_atom_site_fract_x
_atom_site_fract_y
_atom_site_fract_z
Tm1 Tm 0.250 0.250 0.132
Hg1 Hg 0.250 0.750 0.500
N1 N 0.250 0.250 0.702
O1 O 0.250 0.750 0.000
# M_tot	0.0	μB per formula unit

---

Top of the stability list: arrangement three, leading by 92 meV per atom.

---

Arrangement one

# YHgNO | OQMD | PBE | relaxed
data_YHgNO
_space_group_name_H-M_alt 'P 4/n m m'
_space_group_IT_number 129
_cell_length_a 5.023
_cell_length_b 5.023
_cell_length_c 4.604
_cell_angle_alpha 90.00
_cell_angle_beta 90.00
_cell_angle_gamma 90.00
loop_
_space_group_symop_operation_xyz
'x,y,z'
'-x,-y,-z'
'-y+1/2,x,z'
'y+1/2,-x,-z'
'-x+1/2,-y+1/2,z'
'x+1/2,y+1/2,-z'
'y,-x+1/2,z'
'-y,x+1/2,-z'
'x+1/2,-y,-z'
'-x+1/2,y,z'
'-y,-x,-z'
'y,x,z'
'-x,y+1/2,-z'
'x,-y+1/2,z'
'y+1/2,x+1/2,-z'
'-y+1/2,-x+1/2,z'
loop_
_atom_site_label
_atom_site_type_symbol
_atom_site_fract_x
_atom_site_fract_y
_atom_site_fract_z
Y1 Y 0.250 0.750 0.000
Hg1 Hg 0.250 0.250 0.499
N1 N 0.250 0.250 0.999
O1 O 0.250 0.750 0.500
# M_tot	0.0	μB per formula unit

---

Arrangement two

# YHgNO | OQMD | PBE | relaxed
data_YHgNO
_space_group_name_H-M_alt 'P c a 21'
_space_group_IT_number 29
_cell_length_a 6.440
_cell_length_b 7.598
_cell_length_c 5.772
_cell_angle_alpha 90.00
_cell_angle_beta 90.00
_cell_angle_gamma 90.00
loop_
_space_group_symop_operation_xyz
'x,y,z'
'-x,-y,z+1/2'
'-x+1/2,y,z+1/2'
'x+1/2,-y,z'
loop_
_atom_site_label
_atom_site_type_symbol
_atom_site_fract_x
_atom_site_fract_y
_atom_site_fract_z
Y1 Y 0.069 0.140 0.000
Hg1 Hg 0.062 0.653 0.011
N1 N 0.099 0.105 0.612
O1 O 0.085 0.614 0.592
# M_tot	0.0	μB per formula unit

---

Arrangement three

# YHgNO | OQMD | PBE | relaxed
data_YHgNO
_space_group_name_H-M_alt 'P 4/n m m'
_space_group_IT_number 129
_cell_length_a 3.921
_cell_length_b 3.921
_cell_length_c 7.992
_cell_angle_alpha 90.00
_cell_angle_beta 90.00
_cell_angle_gamma 90.00
loop_
_space_group_symop_operation_xyz
'x,y,z'
'-x,-y,-z'
'-y+1/2,x,z'
'y+1/2,-x,-z'
'-x+1/2,-y+1/2,z'
'x+1/2,y+1/2,-z'
'y,-x+1/2,z'
'-y,x+1/2,-z'
'x+1/2,-y,-z'
'-x+1/2,y,z'
'-y,-x,-z'
'y,x,z'
'-x,y+1/2,-z'
'x,-y+1/2,z'
'y+1/2,x+1/2,-z'
'-y+1/2,-x+1/2,z'
loop_
_atom_site_label
_atom_site_type_symbol
_atom_site_fract_x
_atom_site_fract_y
_atom_site_fract_z
Y1 Y 0.250 0.250 0.136
Hg1 Hg 0.250 0.750 0.500
N1 N 0.250 0.250 0.697
O1 O 0.250 0.750 0.000
# M_tot	0.0	μB per formula unit

---

Top of the stability list: arrangement one, leading by 56 meV per atom.